VASP calculation (PBE) on LiCrOs after structural relaxation.

As for the crystal system: cubic. The calculation puts the density of states at the Fermi level at 1.412 states/eV/f.u. For the size of the total moment, the calculation gives 1.0 μB per formula unit. The formation energy from the elements is 66.3 kJ/mol of atoms. As for the symmetry: F-43m, No. 216.

The structure in POSCAR format:
```
LiCrOs
1.0
-1.693 2.273 -2.782
-2.030 -1.680 -2.972
-3.954 0.345 -0.148
Cr Li Os
1 1 1
direct
0.750 0.750 0.750
0.000 0.000 0.000
0.500 0.500 0.500
```

---

VASP calculation (PBE) on LiCrOs after structural relaxation.

As for the crystal system: orthorhombic. The calculation puts the density of states at the Fermi level at 3.030 states/eV/f.u. For the size of the total moment, the calculation gives 0.0 μB per formula unit. The formation energy from the elements is 33.5 kJ/mol of atoms. As for the symmetry: Fmm2, No. 42.

The structure in POSCAR format:
```
LiCrOs
1.0
7.092 0.014 -0.009
6.418 2.516 0.007
0.675 -0.946 2.317
Cr Os Li
1 1 1
direct
0.008 0.008 0.992
0.660 0.660 0.340
0.332 0.332 0.668
```

---

Repeat the second record exactly.
VASP calculation (PBE) on LiCrOs after structural relaxation.

As for the crystal system: orthorhombic. The calculation puts the density of states at the Fermi level at 3.030 states/eV/f.u. For the size of the total moment, the calculation gives 0.0 μB per formula unit. The formation energy from the elements is 33.5 kJ/mol of atoms. As for the symmetry: Fmm2, No. 42.

The structure in POSCAR format:
```
LiCrOs
1.0
7.092 0.014 -0.009
6.418 2.516 0.007
0.675 -0.946 2.317
Cr Os Li
1 1 1
direct
0.008 0.008 0.992
0.660 0.660 0.340
0.332 0.332 0.668
```